# 1
Cs3Pr2DySe6 | PBE | relaxed

Properties
E_form (uncorrected)	-1725	meV per atom

POSCAR file:
```
Cs3Pr2DySe6
1.0
7.585 -0.001 0.000
-3.792 6.570 0.000
-1.265 -2.191 8.405
Cs Pr Dy Se
3 2 1 6
direct
0.169 0.831 0.500
0.831 0.169 0.500
0.500 0.500 0.500
0.333 0.667 0.000
0.667 0.333 0.000
0.000 0.000 0.000
0.937 0.613 0.811
0.740 0.740 0.190
0.063 0.387 0.189
0.613 0.937 0.811
0.260 0.260 0.810
0.387 0.063 0.189
```

# 2
TmThTe | PBE | relaxed

Properties
E_form (uncorrected)	-677	meV per atom
energy above the most stable polymorph in this dataset	0.000	eV/atom

POSCAR file:
```
TmThTe
1.0
7.225 0.000 0.000
0.000 6.830 -0.070
0.000 0.050 7.229
Tm Th Te
4 4 4
direct
0.840 0.991 0.661
0.660 0.991 0.161
0.160 0.009 0.339
0.340 0.009 0.839
0.344 0.491 0.156
0.156 0.491 0.656
0.656 0.509 0.844
0.844 0.509 0.344
0.511 0.244 0.501
0.011 0.756 0.999
0.489 0.756 0.499
0.989 0.244 0.001
```

# 3
GdTmIrPt | PBE | relaxed

Properties
formation energy	-1016	meV/atom

POSCAR file:
```
GdTmIrPt
1.0
-0.320 -4.632 -1.515
2.825 -1.573 -3.661
3.648 -3.120 0.898
Gd Ir Tm Pt
1 1 1 1
direct
0.000 0.000 0.000
0.250 0.250 0.250
0.500 0.500 0.500
0.750 0.750 0.750
```

# 4
NaGeRu3 | PBE | relaxed

Properties
formation energy	2236	meV/atom
energy above the most stable polymorph in this dataset	1.161	eV/atom

POSCAR file:
```
NaGeRu3
1.0
-1.676 0.697 4.092
-3.171 -3.063 -0.776
2.679 -3.189 1.641
Ru Ge Na
3 1 1
direct
0.000 0.500 0.000
0.000 0.000 0.500
0.500 0.000 0.000
0.500 0.500 0.500
0.000 0.000 0.000
```

# 5
TiZnN2O | PBE | relaxed

Properties
E_form (uncorrected)	-87	meV per atom

POSCAR file:
```
TiZnN2O
1.0
-0.280 -3.868 0.865
3.879 -0.089 0.860
-0.787 0.871 3.641
Zn N O Ti
1 2 1 1
direct
0.500 0.500 0.500
0.000 0.500 0.000
0.500 0.000 0.000
0.000 0.000 0.500
0.000 0.000 0.000
```

# 6
Ga2AgBP | PBE | relaxed

Properties
formation energy	1187	meV/atom

POSCAR file:
```
Ga2AgBP
1.0
4.832 0.000 0.000
0.000 4.700 0.000
0.000 0.000 4.832
P B Ga Ag
1 1 2 1
direct
0.000 0.000 0.000
0.500 0.500 0.500
0.000 0.000 0.500
0.500 0.000 0.000
0.000 0.500 0.000
```